No. 1
Here is Ce3Pr2ScTe6 after structural relaxation from Alexandria. Energies are from GGA-PBE.

```
Ce3Pr2ScTe6
1.0
9.712 -2.214 0.000
9.712 2.214 0.000
-2.080 0.000 8.732
Ce Pr Sc Te
3 2 1 6
Cartesian
0.000 0.000 0.000
4.983 0.000 5.790
12.362 0.000 2.942
6.132 0.000 1.450
11.213 0.000 7.283
-1.040 0.000 4.366
1.862 0.000 5.038
3.043 0.000 0.750
8.127 0.000 6.387
9.217 0.000 2.345
14.302 0.000 7.982
15.483 0.000 3.694
```

Results
total moment	3.73	Bohr magnetons per cell
total energy	-5.72	eV per atom
symmetry	C2/m (12)
D(E_F)	24.08	states/eV per cell

---

No. 2
Here is CePrThSc after structural relaxation from Alexandria. Energies are from GGA-PBE.

```
CePrThSc
1.0
0.000 3.924 3.924
3.924 0.000 3.924
3.924 3.924 0.000
Ce Pr Th Sc
1 1 1 1
Cartesian
0.000 0.000 0.000
5.885 5.885 5.885
1.962 1.962 1.962
3.924 3.924 3.924
```

Results
total moment	0.46	Bohr magnetons per cell
total energy	-5.92	eV per atom
symmetry	F-43m (216)
D(E_F)	11.59	states/eV per cell

---

No. 3
Here is CePrSc2Tl4 after structural relaxation from Alexandria. Energies are from GGA-PBE.

```
CePrSc2Tl4
1.0
2.667 1.540 8.738
-2.667 1.540 8.738
0.000 -3.080 8.738
Ce Pr Sc Tl
1 1 2 4
Cartesian
0.000 0.000 0.000
0.000 0.000 13.107
0.000 0.000 6.556
0.000 0.000 19.658
0.000 0.000 3.261
0.000 0.000 9.820
0.000 0.000 16.394
0.000 0.000 22.953
```

Results
total moment	1.07	Bohr magnetons per cell
total energy	-4.38	eV per atom
symmetry	R-3m (166)
D(E_F)	12.07	states/eV per cell

---

No. 4
Here is CePrTmSc after structural relaxation from Alexandria. Energies are from GGA-PBE.

```
CePrTmSc
1.0
0.000 3.932 3.932
3.932 0.000 3.932
3.932 3.932 0.000
Ce Pr Tm Sc
1 1 1 1
Cartesian
0.000 0.000 0.000
3.932 3.932 3.932
1.966 1.966 1.966
5.899 5.899 5.899
```

Results
total moment	0.48	Bohr magnetons per cell
total energy	-5.25	eV per atom
symmetry	F-43m (216)
D(E_F)	8.31	states/eV per cell

---

No. 5
Here is CePrZrSc after structural relaxation from Alexandria. Energies are from GGA-PBE.

```
CePrZrSc
1.0
0.000 3.810 3.810
3.810 0.000 3.810
3.810 3.810 0.000
Ce Pr Zr Sc
1 1 1 1
Cartesian
0.000 0.000 0.000
3.810 3.810 3.810
1.905 1.905 1.905
5.714 5.714 5.714
```

Results
total moment	0.39	Bohr magnetons per cell
total energy	-6.20	eV per atom
symmetry	F-43m (216)
D(E_F)	7.56	states/eV per cell

---

No. 6
Here is Ce3PrSe6 after structural relaxation from Alexandria. Energies are from GGA-PBE.

```
Ce3PrSe6
1.0
11.769 0.000 0.000
0.000 4.246 0.000
-3.747 0.000 11.635
Ce Pr Se
6 2 12
Cartesian
0.186 1.061 1.977
0.292 3.184 5.865
0.569 1.061 10.692
7.453 3.184 0.943
7.730 1.061 5.770
7.836 3.184 9.658
4.192 1.061 3.586
3.831 3.184 8.049
-1.217 1.061 4.497
-2.335 1.061 10.909
1.853 3.184 3.225
0.812 3.184 8.751
2.517 1.061 6.245
4.524 3.184 1.144
3.498 1.061 10.491
5.505 3.184 5.390
7.210 1.061 2.884
6.169 1.061 8.410
10.357 3.184 0.726
9.239 3.184 7.139
```

Results
total moment	5.58	Bohr magnetons per cell
total energy	-6.16	eV per atom
E above lowest polymorph	0	meV per atom
symmetry	P2_1/m (11)
D(E_F)	42.23	states/eV per cell

---

No. 7
Here is CePrSe after structural relaxation from Alexandria. Energies are from GGA-PBE.

```
CePrSe
1.0
4.198 0.000 0.000
0.000 4.199 0.000
-0.105 0.000 8.843
Ce Pr Se
2 2 2
Cartesian
0.955 1.050 0.019
3.137 3.149 8.824
1.008 3.149 3.208
3.085 1.050 5.635
0.990 3.149 6.393
3.103 1.050 2.450
```

Results
total moment	0.92	Bohr magnetons per cell
total energy	-5.83	eV per atom
symmetry	P2_1/m (11)
D(E_F)	8.79	states/eV per cell

---

No. 8
Here is CePr2Se4 after structural relaxation from Alexandria. Energies are from GGA-PBE.

```
CePr2Se4
1.0
-4.251 4.272 5.926
4.251 -4.272 5.926
4.251 4.272 -5.926
Ce Pr Se
2 4 8
Cartesian
-2.125 2.136 2.963
2.125 2.136 2.963
0.000 0.000 0.000
2.125 2.136 -2.963
2.125 -2.136 2.963
0.000 4.272 0.000
4.251 0.020 2.910
2.088 2.136 0.023
2.162 -2.136 5.948
0.000 0.020 3.016
4.251 4.251 2.910
2.088 6.407 -0.023
2.162 2.136 5.903
0.000 4.251 3.016
```

Results
total moment	2.33	Bohr magnetons per cell
total energy	-6.05	eV per atom
E above lowest polymorph	0	meV per atom
symmetry	Imma (74)
D(E_F)	16.42	states/eV per cell

---

No. 9
Here is Ce2Pr3Se8 after structural relaxation from Alexandria. Energies are from GGA-PBE.

```
Ce2Pr3Se8
1.0
5.129 -7.197 0.000
5.129 7.197 0.000
0.000 0.000 5.009
Ce Pr Se
2 3 8
Cartesian
5.129 3.794 0.000
5.129 -3.794 0.000
2.236 0.000 2.504
5.129 0.000 0.000
8.022 0.000 2.504
2.649 1.815 0.000
5.129 5.301 2.504
5.129 1.747 2.504
2.649 -1.815 0.000
7.610 1.815 0.000
5.129 -1.747 2.504
5.129 -5.301 2.504
7.610 -1.815 0.000
```

Results
total moment	1.12	Bohr magnetons per cell
total energy	-5.84	eV per atom
E above lowest polymorph	44	meV per atom
symmetry	Cmmm (65)
D(E_F)	9.59	states/eV per cell

---

No. 10
Here is Ce2PrSe5 after structural relaxation from Alexandria. Energies are from GGA-PBE.

```
Ce2PrSe5
1.0
7.020 0.000 0.000
0.000 7.020 0.000
0.000 0.000 5.194
Ce Pr Se
2 1 5
Cartesian
0.000 3.510 0.000
3.510 0.000 0.000
0.000 0.000 2.597
0.000 0.000 0.000
2.013 2.013 2.597
2.013 5.007 2.597
5.007 2.013 2.597
5.007 5.007 2.597
```

Results
total moment	2.37	Bohr magnetons per cell
total energy	-5.17	eV per atom
symmetry	P4/mmm (123)
D(E_F)	20.50	states/eV per cell

---

No. 11
Here is Ce2Pr5Se12 after structural relaxation from Alexandria. Energies are from GGA-PBE.

```
Ce2Pr5Se12
1.0
8.185 -3.983 0.000
8.185 3.983 0.000
-2.974 0.000 9.102
Ce Pr Se
2 5 12
Cartesian
8.185 2.013 0.000
8.185 -2.013 0.000
0.589 0.000 7.506
2.301 0.000 3.310
6.698 0.000 4.551
11.094 0.000 5.791
12.807 0.000 1.596
-0.586 0.000 2.008
2.551 2.160 8.241
4.471 2.021 3.976
8.925 2.021 5.126
10.845 2.160 0.861
7.405 0.000 1.756
5.990 0.000 7.346
2.551 -2.160 8.241
4.471 -2.021 3.976
8.925 -2.021 5.126
10.845 -2.160 0.861
13.982 0.000 7.093
```

Results
total moment	0.00	Bohr magnetons per cell
total energy	-5.74	eV per atom
symmetry	C2/m (12)
D(E_F)	16.83	states/eV per cell

---

No. 12
Here is CePr2Se4 after structural relaxation from Alexandria. Energies are from GGA-PBE.

```
CePr2Se4
1.0
2.074 -7.043 0.000
2.074 7.043 0.000
0.000 0.000 14.195
Ce Pr Se
2 4 8
Cartesian
2.074 5.310 10.646
2.074 -5.310 3.549
2.074 1.845 8.073
2.074 1.845 13.220
2.074 -1.845 0.975
2.074 -1.845 6.122
0.000 0.000 0.000
0.000 0.000 7.098
2.074 3.151 1.769
2.074 3.151 5.329
2.074 0.407 10.646
2.074 -0.407 3.549
2.074 -3.151 8.866
2.074 -3.151 12.426
```

Results
total moment	2.58	Bohr magnetons per cell
total energy	-6.04	eV per atom
E above lowest polymorph	3	meV per atom
symmetry	Cmcm (63)
D(E_F)	14.24	states/eV per cell